1.
{
  "formula": "KBe2CuF8",
  "functional": "GGA-PBE",
  "state": "optimized geometry",
  "formation_energy_uncorrected_ev_per_fu": -30.74,
  "spacegroup": "R-3 (148)",
  "magnetic_moment_mub_per_cell": 1.868,
  "mass_density_g_cm3": 2.92,
  "energy_ev_per_fu": -58.356,
  "lattice_angstrom": [[-2.4721, 1.4414, 3.8405], [-4.7771, 0.2819, -0.1944], [-2.9518, -6.8214, 3.6464]],
  "species": ["F", "F", "F", "F", "F", "F", "F", "F", "Be", "Be", "K", "Cu"],
  "fractional_positions": [[0.1977, 0.1977, 0.4068], [0.7451, 0.0127, 0.8525], [0.6104, 0.2549, 0.1475], [0.8023, 0.8023, 0.5932], [0.3896, 0.7451, 0.8525], [0.0127, 0.3896, 0.8525], [0.2549, 0.9873, 0.1475], [0.9873, 0.6104, 0.1475], [0.7383, 0.7383, 0.7852], [0.2617, 0.2617, 0.2148], [0.5000, 0.5000, 0.5000], [0.0000, 0.0000, 0.0000]]
}

2.
{
  "formula": "LiBe2CuF",
  "functional": "GGA-PBE",
  "state": "optimized geometry",
  "formation_energy_uncorrected_ev_per_fu": 0.27,
  "spacegroup": "P4/mmm (123)",
  "n_ef_per_ev_cell": 1.238,
  "magnetic_moment_mub_per_cell": 0.000,
  "mass_density_g_cm3": 3.04,
  "energy_ev_per_fu": -15.062,
  "lattice_angstrom": [[3.5452, 0.0000, 0.0000], [0.0000, 4.6663, 0.0000], [0.0000, 0.0000, 3.5452]],
  "species": ["Cu", "Be", "Be", "F", "Li"],
  "fractional_positions": [[0.0000, 0.5000, 0.0000], [0.5000, 0.0000, 0.0000], [0.0000, 0.0000, 0.5000], [0.0000, 0.0000, 0.0000], [0.5000, 0.5000, 0.5000]]
}

3.
{
  "formula": "LiBeCuF6",
  "functional": "GGA-PBE",
  "state": "optimized geometry",
  "formation_energy_uncorrected_ev_per_fu": -20.35,
  "spacegroup": "P-31c (163)",
  "magnetic_moment_mub_per_cell": 3.978,
  "mass_density_g_cm3": 3.57,
  "energy_ev_per_fu": -41.319,
  "lattice_angstrom": [[4.8067, 0.0000, 0.0000], [-2.4034, 4.1628, 0.0000], [0.0000, 0.0000, 8.9994]],
  "species": ["Be", "Be", "Li", "Li", "F", "F", "F", "F", "F", "F", "F", "F", "F", "F", "F", "F", "Cu", "Cu"],
  "fractional_positions": [[0.6667, 0.3333, 0.2500], [0.3333, 0.6667, 0.7500], [0.0000, 0.0000, 0.5000], [0.0000, 0.0000, 0.0000], [0.6308, 0.9751, 0.8614], [0.3443, 0.9751, 0.6386], [0.6557, 0.0249, 0.3614], [0.9751, 0.3443, 0.1386], [0.6557, 0.6308, 0.1386], [0.3443, 0.3692, 0.8614], [0.0249, 0.6557, 0.8614], [0.0249, 0.3692, 0.6386], [0.6308, 0.6557, 0.6386], [0.3692, 0.0249, 0.1386], [0.3692, 0.3443, 0.3614], [0.9751, 0.6308, 0.3614], [0.6667, 0.3333, 0.7500], [0.3333, 0.6667, 0.2500]]
}

4.
{
  "formula": "BeCuNF2",
  "functional": "GGA-PBE",
  "state": "optimized geometry",
  "formation_energy_uncorrected_ev_per_fu": -4.71,
  "spacegroup": "P4/mmm (123)",
  "n_ef_per_ev_cell": 0.929,
  "magnetic_moment_mub_per_cell": 1.026,
  "mass_density_g_cm3": 3.75,
  "energy_ev_per_fu": -24.599,
  "lattice_angstrom": [[-2.3935, -1.9550, -0.0606], [1.7423, -2.0875, -1.4701], [1.6601, -2.1896, 5.0767]],
  "species": ["F", "F", "Be", "N", "Cu"],
  "fractional_positions": [[0.0000, 0.5000, 0.0000], [0.5000, 0.0000, 0.0000], [0.0000, 0.0000, 0.0000], [0.0000, 0.0000, 0.5000], [0.5000, 0.5000, 0.5000]]
}

5.
{
  "formula": "BeCuNF2",
  "functional": "GGA-PBE",
  "state": "optimized geometry",
  "formation_energy_uncorrected_ev_per_fu": 0.63,
  "spacegroup": "P4/mmm (123)",
  "n_ef_per_ev_cell": 3.648,
  "magnetic_moment_mub_per_cell": 0.002,
  "mass_density_g_cm3": 3.73,
  "energy_ev_per_fu": -19.257,
  "lattice_angstrom": [[3.7042, 0.0000, 0.0000], [0.0000, 3.7042, 0.0000], [0.0000, 0.0000, 4.0399]],
  "species": ["Cu", "F", "F", "Be", "N"],
  "fractional_positions": [[0.0000, 0.0000, 0.0000], [0.5000, 0.0000, 0.0000], [0.0000, 0.5000, 0.0000], [0.5000, 0.5000, 0.5000], [0.0000, 0.0000, 0.5000]]
}

6.
{
  "formula": "NaBe2CuF8",
  "functional": "GGA-PBE",
  "state": "optimized geometry",
  "formation_energy_uncorrected_ev_per_fu": -30.26,
  "spacegroup": "C2/m (12)",
  "magnetic_moment_mub_per_cell": 2.024,
  "mass_density_g_cm3": 2.92,
  "energy_ev_per_fu": -58.096,
  "lattice_angstrom": [[4.7383, -0.2290, -0.0822], [1.9826, 4.3097, -0.0822], [0.1850, 0.1123, 6.9920]],
  "species": ["F", "F", "F", "F", "F", "F", "F", "F", "Be", "Be", "Cu", "Na"],
  "fractional_positions": [[0.2399, 0.2399, 0.9613], [0.2807, 0.2807, 0.5879], [0.7601, 0.7601, 0.0387], [0.7193, 0.7193, 0.4121], [0.2298, 0.7243, 0.7988], [0.2757, 0.7702, 0.2012], [0.7702, 0.2757, 0.2012], [0.7243, 0.2298, 0.7988], [0.6402, 0.6402, 0.2203], [0.3598, 0.3598, 0.7797], [0.0000, 0.0000, 0.0000], [0.0000, 0.0000, 0.5000]]
}

7.
{
  "formula": "NaBeCuF6",
  "functional": "GGA-PBE",
  "state": "optimized geometry",
  "formation_energy_uncorrected_ev_per_fu": -20.35,
  "spacegroup": "P-31c (163)",
  "magnetic_moment_mub_per_cell": 3.996,
  "mass_density_g_cm3": 3.38,
  "energy_ev_per_fu": -40.724,
  "lattice_angstrom": [[-1.5386, 4.4659, 1.2463], [-3.1795, -3.7012, -0.2367], [1.7161, -2.0883, 9.6018]],
  "species": ["F", "F", "F", "F", "F", "F", "F", "F", "F", "F", "F", "F", "Cu", "Cu", "Be", "Be", "Na", "Na"],
  "fractional_positions": [[0.3573, 0.9756, 0.6485], [0.3817, 0.3573, 0.3515], [0.6427, 0.6183, 0.1485], [0.3573, 0.3817, 0.8515], [0.6183, 0.9756, 0.8515], [0.3817, 0.0244, 0.1485], [0.6183, 0.6427, 0.6485], [0.0244, 0.3817, 0.6485], [0.9756, 0.6183, 0.3515], [0.6427, 0.0244, 0.3515], [0.0244, 0.6427, 0.8515], [0.9756, 0.3573, 0.1485], [0.6667, 0.3333, 0.7500], [0.3333, 0.6667, 0.2500], [0.3333, 0.6667, 0.7500], [0.6667, 0.3333, 0.2500], [0.0000, 0.0000, 0.5000], [0.0000, 0.0000, 0.0000]]
}

8.
{
  "formula": "NaBeCu2F8",
  "functional": "GGA-PBE",
  "state": "optimized geometry",
  "formation_energy_uncorrected_ev_per_fu": -24.16,
  "spacegroup": "C2/m (12)",
  "n_ef_per_ev_cell": 3.342,
  "magnetic_moment_mub_per_cell": 1.005,
  "mass_density_g_cm3": 3.81,
  "energy_ev_per_fu": -52.369,
  "lattice_angstrom": [[4.5762, 0.2248, 0.2314], [0.2869, 4.5760, 0.2349], [0.3286, 0.3181, 6.5327]],
  "species": ["Cu", "Cu", "F", "F", "F", "F", "F", "F", "F", "F", "Na", "Be"],
  "fractional_positions": [[0.5197, 0.5197, 0.2293], [0.4803, 0.4803, 0.7707], [0.2656, 0.2665, 0.9760], [0.1977, 0.8076, 0.7978], [0.8023, 0.1924, 0.2022], [0.3256, 0.3266, 0.4515], [0.6744, 0.6734, 0.5485], [0.8069, 0.1969, 0.7980], [0.7344, 0.7335, 0.0240], [0.1931, 0.8031, 0.2020], [0.0000, 0.0000, 0.5000], [0.0000, 0.0000, 0.0000]]
}